# 1
Material: TaIr2Pb
Method: DFT, PBE
State: relaxed

CIF file:
```
data_TaIr2Pb
_chemical_formula_sum 'Ta1 Ir2 Pb1'
_cell_length_a 3.0824
_cell_length_b 3.3740
_cell_length_c 7.5012
_cell_angle_alpha 90.00
_cell_angle_beta 99.99
_cell_angle_gamma 90.00
_space_group_name_H-M_alt 'P 1 2/m 1'
_space_group_IT_number 10
loop_
_space_group_symop_operation_xyz
'x,y,z'
'-x,-y,-z'
'-x,y,-z'
'x,-y,z'
loop_
_atom_site_label
_atom_site_fract_x
_atom_site_fract_y
_atom_site_fract_z
_atom_site_occupancy
Ta1 0.0000 0.0000 0.0000 1
Ir1 0.4056 0.5000 0.8042 1
Pb1 0.0000 0.0000 0.5000 1
```

Calculated total energy: -8.46 eV/atom
D(E_F): 0.3883 states/eV/atom
Formation energy from the elements: -142 meV/atom
Total magnetic moment: 0.000 Bohr magnetons per cell


# 2
Material: TaIrPb
Method: DFT, PBE
State: relaxed

CIF file:
```
data_TaIrPb
_chemical_formula_sum 'Ta2 Ir2 Pb2'
_cell_length_a 3.2196
_cell_length_b 3.2196
_cell_length_c 11.9473
_cell_angle_alpha 90.00
_cell_angle_beta 90.00
_cell_angle_gamma 90.00
_space_group_name_H-M_alt 'I 4 m m'
_space_group_IT_number 107
_space_group_name_Hall 'I 4 -2'
loop_
_atom_site_label
_atom_site_fract_x
_atom_site_fract_y
_atom_site_fract_z
_atom_site_occupancy
Ta1 0.0000 0.0000 0.0000 1
Ir1 0.0000 0.0000 0.3910 1
Pb1 0.0000 0.0000 0.6968 1
```

Calculated total energy: -8.07 eV/atom
D(E_F): 0.6542 states/eV/atom
Formation energy from the elements: 75 meV/atom
Total magnetic moment: 0.000 Bohr magnetons per cell


# 3
Material: Ta3IrPb
Method: DFT, PBE
State: relaxed

CIF file:
```
data_Ta3IrPb
_chemical_formula_sum 'Ta3 Ir1 Pb1'
_cell_length_a 4.9948
_cell_length_b 4.9948
_cell_length_c 4.9948
_cell_angle_alpha 90.00
_cell_angle_beta 90.00
_cell_angle_gamma 90.00
_space_group_name_H-M_alt 'P m -3 m'
_space_group_IT_number 221
_space_group_name_Hall '-P 4 2 3'
loop_
_atom_site_label
_atom_site_fract_x
_atom_site_fract_y
_atom_site_fract_z
_atom_site_occupancy
Ta1 0.0000 0.0000 0.5000 1
Ir1 0.5000 0.5000 0.5000 1
Pb1 0.0000 0.0000 0.0000 1
```

Calculated total energy: -6.95 eV/atom
D(E_F): 1.2202 states/eV/atom
Formation energy from the elements: 2671 meV/atom
Total magnetic moment: 0.000 Bohr magnetons per cell
E above lowest polymorph: 1754.2 meV per atom


# 4
Material: Y2TaIrPb
Method: DFT, PBE
State: relaxed

CIF file:
```
data_Y2TaIrPb
_chemical_formula_sum 'Y2 Ta1 Ir1 Pb1'
_cell_length_a 5.6228
_cell_length_b 5.6228
_cell_length_c 4.9077
_cell_angle_alpha 90.00
_cell_angle_beta 90.00
_cell_angle_gamma 90.00
_space_group_name_H-M_alt 'P 4/m m m'
_space_group_IT_number 123
_space_group_name_Hall '-P 4 2'
loop_
_atom_site_label
_atom_site_fract_x
_atom_site_fract_y
_atom_site_fract_z
_atom_site_occupancy
Y1 0.0000 0.5000 0.0000 1
Ta1 0.0000 0.0000 0.5000 1
Ir1 0.5000 0.5000 0.5000 1
Pb1 0.5000 0.5000 0.0000 1
```

Calculated total energy: -6.09 eV/atom
D(E_F): 0.9266 states/eV/atom
Formation energy from the elements: 1384 meV/atom
Total magnetic moment: 3.336 Bohr magnetons per cell


# 5
Material: ZrTaIr2Pb
Method: DFT, PBE
State: relaxed

CIF file:
```
data_ZrTaIr2Pb
_chemical_formula_sum 'Zr1 Ta1 Ir2 Pb1'
_cell_length_a 4.8958
_cell_length_b 4.8958
_cell_length_c 5.0783
_cell_angle_alpha 90.00
_cell_angle_beta 90.00
_cell_angle_gamma 90.00
_space_group_name_H-M_alt 'P 4/m m m'
_space_group_IT_number 123
_space_group_name_Hall '-P 4 2'
loop_
_atom_site_label
_atom_site_fract_x
_atom_site_fract_y
_atom_site_fract_z
_atom_site_occupancy
Zr1 0.0000 0.0000 0.0000 1
Ta1 0.5000 0.5000 0.0000 1
Ir1 0.0000 0.5000 0.5000 1
Pb1 0.5000 0.5000 0.5000 1
```

Calculated total energy: -6.55 eV/atom
D(E_F): 1.6715 states/eV/atom
Formation energy from the elements: 1813 meV/atom
Total magnetic moment: 0.916 Bohr magnetons per cell


# 6
Material: Tb12Ir5Pb3
Method: DFT, PBE
State: relaxed

CIF file:
```
data_Tb12Ir5Pb3
_chemical_formula_sum 'Tb96 Ir40 Pb24'
_cell_length_a 17.1955
_cell_length_b 17.1955
_cell_length_c 17.1955
_cell_angle_alpha 90.00
_cell_angle_beta 90.00
_cell_angle_gamma 90.00
_space_group_name_H-M_alt 'I a -3 d'
_space_group_IT_number 230
_space_group_name_Hall '-I 4bd 2c 3'
loop_
_atom_site_label
_atom_site_fract_x
_atom_site_fract_y
_atom_site_fract_z
_atom_site_occupancy
Tb1 0.0275 0.0579 0.6472 1
Ir1 0.0000 0.0000 0.0000 1
Ir2 0.0000 0.2500 0.3750 1
Pb1 0.0000 0.2500 0.1250 1
```

Calculated total energy: -5.87 eV/atom
D(E_F): 0.9238 states/eV/atom
Formation energy from the elements: -318 meV/atom
Total magnetic moment: 0.000 Bohr magnetons per cell


# 7
Material: Tb5Ir2Pb
Method: DFT, PBE
State: relaxed

CIF file:
```
data_Tb5Ir2Pb
_chemical_formula_sum 'Tb20 Ir8 Pb4'
_cell_length_a 7.8364
_cell_length_b 7.8364
_cell_length_c 13.6759
_cell_angle_alpha 90.00
_cell_angle_beta 90.00
_cell_angle_gamma 90.00
_space_group_name_H-M_alt 'I 4/m c m'
_space_group_IT_number 140
_space_group_name_Hall '-I 4 2c'
loop_
_atom_site_label
_atom_site_fract_x
_atom_site_fract_y
_atom_site_fract_z
_atom_site_occupancy
Tb1 0.0000 0.0000 0.0000 1
Tb2 0.1587 0.3413 0.1318 1
Ir1 0.1397 0.3603 0.5000 1
Pb1 0.0000 0.0000 0.2500 1
```

Calculated total energy: -6.26 eV/atom
D(E_F): 1.0659 states/eV/atom
Formation energy from the elements: -689 meV/atom
Total magnetic moment: 0.005 Bohr magnetons per cell


# 8
Material: Tb5IrPb4
Method: DFT, PBE
State: relaxed

CIF file:
```
data_Tb5IrPb4
_chemical_formula_sum 'Tb10 Ir2 Pb8'
_cell_length_a 9.7507
_cell_length_b 9.7507
_cell_length_c 6.2498
_cell_angle_alpha 90.00
_cell_angle_beta 90.00
_cell_angle_gamma 90.00
_space_group_name_H-M_alt 'I 4'
_space_group_IT_number 79
loop_
_space_group_symop_operation_xyz
'x,y,z'
'-y,x,z'
'-x,-y,z'
'y,-x,z'
'x+1/2,y+1/2,z+1/2'
'-y+1/2,x+1/2,z+1/2'
'-x+1/2,-y+1/2,z+1/2'
'y+1/2,-x+1/2,z+1/2'
loop_
_atom_site_label
_atom_site_fract_x
_atom_site_fract_y
_atom_site_fract_z
_atom_site_occupancy
Tb1 0.0000 0.0000 0.0000 1
Tb2 0.1006 0.2585 0.4148 1
Ir1 0.0000 0.0000 0.4765 1
Pb1 0.0765 0.3163 0.9132 1
```

Calculated total energy: -5.08 eV/atom
D(E_F): 0.6282 states/eV/atom
Formation energy from the elements: -399 meV/atom
Total magnetic moment: 0.000 Bohr magnetons per cell


# 9
Material: Tb4Ir2Pb
Method: DFT, PBE
State: relaxed

CIF file:
```
data_Tb4Ir2Pb
_chemical_formula_sum 'Tb32 Ir16 Pb8'
_cell_length_a 9.3730
_cell_length_b 13.1107
_cell_length_c 13.1447
_cell_angle_alpha 90.00
_cell_angle_beta 90.00
_cell_angle_gamma 90.00
_space_group_name_H-M_alt 'F d d d'
_space_group_IT_number 70
loop_
_space_group_symop_operation_xyz
'x,y,z'
'-x,-y,-z'
'-x+1/4,-y+1/4,z'
'x+1/4,y+1/4,-z'
'x,-y+1/4,-z+1/4'
'-x,y+1/4,z+1/4'
'-x+1/4,y,-z+1/4'
'x+1/4,-y,z+1/4'
'x,y+1/2,z+1/2'
'-x,-y+1/2,-z+1/2'
'-x+1/4,-y+3/4,z+1/2'
'x+1/4,y+3/4,-z+1/2'
'x,-y+3/4,-z+3/4'
'-x,y+3/4,z+3/4'
'-x+1/4,y+1/2,-z+3/4'
'x+1/4,-y+1/2,z+3/4'
'x+1/2,y,z+1/2'
'-x+1/2,-y,-z+1/2'
'-x+3/4,-y+1/4,z+1/2'
'x+3/4,y+1/4,-z+1/2'
'x+1/2,-y+1/4,-z+3/4'
'-x+1/2,y+1/4,z+3/4'
'-x+3/4,y,-z+3/4'
'x+3/4,-y,z+3/4'
'x+1/2,y+1/2,z'
'-x+1/2,-y+1/2,-z'
'-x+3/4,-y+3/4,z'
'x+3/4,y+3/4,-z'
'x+1/2,-y+3/4,-z+1/4'
'-x+1/2,y+3/4,z+1/4'
'-x+3/4,y+1/2,-z+1/4'
'x+3/4,-y+1/2,z+1/4'
loop_
_atom_site_label
_atom_site_fract_x
_atom_site_fract_y
_atom_site_fract_z
_atom_site_occupancy
Tb1 0.0340 0.2844 0.4651 1
Ir1 0.0000 0.0000 0.0000 1
Pb1 0.1250 0.1250 0.6250 1
```

Calculated total energy: -6.22 eV/atom
D(E_F): 0.7277 states/eV/atom
Formation energy from the elements: -509 meV/atom
Total magnetic moment: 0.000 Bohr magnetons per cell


# 10
Material: Tb2IrPb
Method: DFT, PBE
State: relaxed

CIF file:
```
data_Tb2IrPb
_chemical_formula_sum 'Tb2 Ir1 Pb1'
_cell_length_a 3.5067
_cell_length_b 3.5067
_cell_length_c 8.0628
_cell_angle_alpha 90.00
_cell_angle_beta 90.00
_cell_angle_gamma 90.00
_space_group_name_H-M_alt 'P 4/m m m'
_space_group_IT_number 123
_space_group_name_Hall '-P 4 2'
loop_
_atom_site_label
_atom_site_fract_x
_atom_site_fract_y
_atom_site_fract_z
_atom_site_occupancy
Tb1 0.0000 0.0000 0.2046 1
Ir1 0.5000 0.5000 0.0000 1
Pb1 0.5000 0.5000 0.5000 1
```

Calculated total energy: -6.13 eV/atom
D(E_F): 0.4385 states/eV/atom
Formation energy from the elements: -670 meV/atom
Total magnetic moment: 0.000 Bohr magnetons per cell
E above lowest polymorph: 0.0 meV per atom


# 11
Material: Tb3IrPb2
Method: DFT, PBE
State: relaxed

CIF file:
```
data_Tb3IrPb2
_chemical_formula_sum 'Tb12 Ir4 Pb8'
_cell_length_a 12.6592
_cell_length_b 4.4220
_cell_length_c 11.7933
_cell_angle_alpha 90.00
_cell_angle_beta 90.00
_cell_angle_gamma 90.00
_space_group_name_H-M_alt 'P n m a'
_space_group_IT_number 62
loop_
_space_group_symop_operation_xyz
'x,y,z'
'-x,-y,-z'
'-x+1/2,-y,z+1/2'
'x+1/2,y,-z+1/2'
'x+1/2,-y+1/2,-z+1/2'
'-x+1/2,y+1/2,z+1/2'
'-x,y+1/2,-z'
'x,-y+1/2,z'
loop_
_atom_site_label
_atom_site_fract_x
_atom_site_fract_y
_atom_site_fract_z
_atom_site_occupancy
Tb1 0.0556 0.2500 0.1322 1
Tb2 0.1174 0.7500 0.5392 1
Tb3 0.2504 0.2500 0.7891 1
Ir1 0.1239 0.2500 0.3691 1
Pb1 0.0139 0.2500 0.6968 1
Pb2 0.1848 0.7500 0.9987 1
```

Calculated total energy: -5.63 eV/atom
D(E_F): 0.4351 states/eV/atom
Formation energy from the elements: -600 meV/atom
Total magnetic moment: 0.000 Bohr magnetons per cell
E above lowest polymorph: 0.0 meV per atom


# 12
Material: Tb3Ir2Pb
Method: DFT, PBE
State: relaxed

CIF file:
```
data_Tb3Ir2Pb
_chemical_formula_sum 'Tb3 Ir2 Pb1'
_cell_length_a 3.4168
_cell_length_b 3.4168
_cell_length_c 12.0107
_cell_angle_alpha 90.00
_cell_angle_beta 90.00
_cell_angle_gamma 90.00
_space_group_name_H-M_alt 'P 4/m m m'
_space_group_IT_number 123
_space_group_name_Hall '-P 4 2'
loop_
_atom_site_label
_atom_site_fract_x
_atom_site_fract_y
_atom_site_fract_z
_atom_site_occupancy
Tb1 0.0000 0.0000 0.0000 1
Tb2 0.0000 0.0000 0.2891 1
Ir1 0.5000 0.5000 0.1495 1
Pb1 0.5000 0.5000 0.5000 1
```

Calculated total energy: -6.59 eV/atom
D(E_F): 0.7147 states/eV/atom
Formation energy from the elements: -702 meV/atom
Total magnetic moment: 0.001 Bohr magnetons per cell


# 13
Material: Tb5Ir2Pb2
Method: DFT, PBE
State: relaxed

CIF file:
```
data_Tb5Ir2Pb2
_chemical_formula_sum 'Tb20 Ir8 Pb8'
_cell_length_a 15.7679
_cell_length_b 8.4292
_cell_length_c 7.2840
_cell_angle_alpha 90.00
_cell_angle_beta 90.00
_cell_angle_gamma 90.00
_space_group_name_H-M_alt 'C m c e'
_space_group_IT_number 64
_space_group_name_Hall '-C 2ac 2'
loop_
_atom_site_label
_atom_site_fract_x
_atom_site_fract_y
_atom_site_fract_z
_atom_site_occupancy
Tb1 0.0000 0.0000 0.0000 1
Tb2 0.1169 0.1778 0.3480 1
Ir1 0.0000 0.1263 0.6372 1
Pb1 0.2147 0.0000 0.0000 1
```

Calculated total energy: -6.02 eV/atom
D(E_F): 0.6922 states/eV/atom
Formation energy from the elements: -652 meV/atom
Total magnetic moment: 0.000 Bohr magnetons per cell


# 14
Material: Tb3IrPb2
Method: DFT, PBE
State: relaxed

CIF file:
```
data_Tb3IrPb2
_chemical_formula_sum 'Tb12 Ir4 Pb8'
_cell_length_a 14.4804
_cell_length_b 6.2693
_cell_length_c 7.4745
_cell_angle_alpha 90.00
_cell_angle_beta 106.44
_cell_angle_gamma 90.00
_space_group_name_H-M_alt 'C 1 2/c 1'
_space_group_IT_number 15
loop_
_space_group_symop_operation_xyz
'x,y,z'
'-x,-y,-z'
'-x,y,-z+1/2'
'x,-y,z+1/2'
'x+1/2,y+1/2,z'
'-x+1/2,-y+1/2,-z'
'-x+1/2,y+1/2,-z+1/2'
'x+1/2,-y+1/2,z+1/2'
loop_
_atom_site_label
_atom_site_fract_x
_atom_site_fract_y
_atom_site_fract_z
_atom_site_occupancy
Tb1 0.0000 0.1713 0.2500 1
Tb2 0.1491 0.4208 0.6088 1
Ir1 0.0000 0.3704 0.7500 1
Pb1 0.1607 0.0933 0.0267 1
```

Calculated total energy: -5.51 eV/atom
D(E_F): 0.5586 states/eV/atom
Formation energy from the elements: -482 meV/atom
Total magnetic moment: 0.000 Bohr magnetons per cell
E above lowest polymorph: 118.1 meV per atom


# 15
Material: Tb4Ir2Pb5
Method: DFT, PBE
State: relaxed

CIF file:
```
data_Tb4Ir2Pb5
_chemical_formula_sum 'Tb4 Ir2 Pb5'
_cell_length_a 8.1040
_cell_length_b 3.6560
_cell_length_c 9.8723
_cell_angle_alpha 90.00
_cell_angle_beta 93.65
_cell_angle_gamma 90.00
_space_group_name_H-M_alt 'P 1 2/m 1'
_space_group_IT_number 10
loop_
_space_group_symop_operation_xyz
'x,y,z'
'-x,-y,-z'
'-x,y,-z'
'x,-y,z'
loop_
_atom_site_label
_atom_site_fract_x
_atom_site_fract_y
_atom_site_fract_z
_atom_site_occupancy
Tb1 0.1951 0.0000 0.3386 1
Tb2 0.1982 0.0000 0.9314 1
Ir1 0.0829 0.5000 0.1357 1
Pb1 0.1428 0.5000 0.6342 1
Pb2 0.4585 0.5000 0.1625 1
Pb3 0.5000 0.5000 0.5000 1
```

Calculated total energy: -5.53 eV/atom
D(E_F): 0.4696 states/eV/atom
Formation energy from the elements: -546 meV/atom
Total magnetic moment: 0.000 Bohr magnetons per cell


# 16
Material: Tb2IrPb
Method: DFT, PBE
State: relaxed

CIF file:
```
data_Tb2IrPb
_chemical_formula_sum 'Tb2 Ir1 Pb1'
_cell_length_a 4.8996
_cell_length_b 4.8996
_cell_length_c 3.9813
_cell_angle_alpha 90.00
_cell_angle_beta 90.00
_cell_angle_gamma 90.00
_space_group_name_H-M_alt 'P 4/m m m'
_space_group_IT_number 123
_space_group_name_Hall '-P 4 2'
loop_
_atom_site_label
_atom_site_fract_x
_atom_site_fract_y
_atom_site_fract_z
_atom_site_occupancy
Tb1 0.0000 0.5000 0.0000 1
Ir1 0.0000 0.0000 0.5000 1
Pb1 0.5000 0.5000 0.5000 1
```

Calculated total energy: -5.94 eV/atom
D(E_F): 0.4282 states/eV/atom
Formation energy from the elements: -484 meV/atom
Total magnetic moment: 0.000 Bohr magnetons per cell
E above lowest polymorph: 185.9 meV per atom


# 17
Material: Tb6IrPb
Method: DFT, PBE
State: relaxed

CIF file:
```
data_Tb6IrPb
_chemical_formula_sum 'Tb6 Ir1 Pb1'
_cell_length_a 6.9126
_cell_length_b 6.9238
_cell_length_c 7.6640
_cell_angle_alpha 90.13
_cell_angle_beta 116.67
_cell_angle_gamma 119.94
_space_group_name_H-M_alt 'P -1'
_space_group_IT_number 2
loop_
_space_group_symop_operation_xyz
'x,y,z'
'-x,-y,-z'
loop_
_atom_site_label
_atom_site_fract_x
_atom_site_fract_y
_atom_site_fract_z
_atom_site_occupancy
Tb1 0.0429 0.0819 0.2597 1
Tb2 0.2989 0.7168 0.2596 1
Tb3 0.3209 0.5383 0.7405 1
Ir1 0.5000 0.5000 0.5000 1
Pb1 0.5000 0.0000 0.0000 1
```

Calculated total energy: -5.22 eV/atom
D(E_F): 1.2809 states/eV/atom
Formation energy from the elements: -173 meV/atom
Total magnetic moment: 0.000 Bohr magnetons per cell


# 18
Material: Tb12Ir6Pb
Method: DFT, PBE
State: relaxed

CIF file:
```
data_Tb12Ir6Pb
_chemical_formula_sum 'Tb24 Ir12 Pb2'
_cell_length_a 10.0080
_cell_length_b 10.0080
_cell_length_c 10.0080
_cell_angle_alpha 90.00
_cell_angle_beta 90.00
_cell_angle_gamma 90.00
_space_group_name_H-M_alt 'I m -3'
_space_group_IT_number 204
_space_group_name_Hall '-I 2 2 3'
loop_
_atom_site_label
_atom_site_fract_x
_atom_site_fract_y
_atom_site_fract_z
_atom_site_occupancy
Tb1 0.0000 0.3008 0.1941 1
Ir1 0.0000 0.1249 0.5000 1
Pb1 0.0000 0.0000 0.0000 1
```

Calculated total energy: -6.53 eV/atom
D(E_F): 0.2877 states/eV/atom
Formation energy from the elements: -609 meV/atom
Total magnetic moment: 0.000 Bohr magnetons per cell


# 19
Material: TbIrPb
Method: DFT, PBE
State: relaxed

CIF file:
```
data_TbIrPb
_chemical_formula_sum 'Tb4 Ir4 Pb4'
_cell_length_a 6.7147
_cell_length_b 6.7147
_cell_length_c 6.7147
_cell_angle_alpha 90.00
_cell_angle_beta 90.00
_cell_angle_gamma 90.00
_space_group_name_H-M_alt 'F -4 3 m'
_space_group_IT_number 216
_space_group_name_Hall 'F -4 2 3'
loop_
_atom_site_label
_atom_site_fract_x
_atom_site_fract_y
_atom_site_fract_z
_atom_site_occupancy
Tb1 0.0000 0.0000 0.0000 1
Ir1 0.2500 0.2500 0.7500 1
Pb1 0.0000 0.0000 0.5000 1
```

Calculated total energy: -6.18 eV/atom
D(E_F): 1.5378 states/eV/atom
Formation energy from the elements: -442 meV/atom
Total magnetic moment: 0.000 Bohr magnetons per cell